A plane-wave DFT calculation with PBE was carried out for a relaxed structure of TcSb3As.

a b c (Å): 5.2793 5.2793 5.2793
angles (deg): 90.00 90.00 90.00
Last column: magnetic moment on the atom in μB.
Element x y z (fractional)
Sb  0.0000  0.5000  0.0000  -0.13
Sb  0.0000  0.0000  0.5000  -0.12
Sb  0.5000  0.0000  0.0000  -0.07
As  0.0000  0.0000  0.0000  -0.01
Tc  0.5000  0.5000  0.5000  3.22

DOS(E_F) = 2.899 states/eV/cell
Total moment = 2.959 μB/cell
Space group = Pm-3m (221)
Raw formation energy = 1297 meV per atom
Energy relative to the lowest polymorph listed for this composition = 770 meV/atom
V = 29.43 Å³/atom